1.
{"formula": "HfReS2", "functional": "GGA-PBEsol", "state": "relaxed", "formation_energy_uncorrected_ev_per_atom": -0.441, "mass_density_g_cm3": 9.9, "magmom_total_mub_per_fu": 0.000, "space_group": "I-42d", "crystal_system": "tetragonal", "n_ef_per_ev_atom": 0.49, "cell": [[-1.8113, -0.8992, 4.0356], [3.9863, -1.5488, 1.4441], [0.6197, 7.6723, -0.5368]], "species": ["Hf", "Hf", "S", "S", "S", "S", "Re", "Re"], "frac_coords": [[0.5000, 0.5000, 0.0000], [0.7500, 0.2500, 0.5000], [0.6250, 0.6567, 0.7500], [0.1250, 0.0933, 0.7500], [0.9067, 0.3750, 0.2500], [0.3433, 0.8750, 0.2500], [0.2500, 0.7500, 0.5000], [0.0000, 0.0000, 0.0000]]}


2.
{"formula": "Li2LaCuN", "functional": "GGA-PBEsol", "state": "relaxed", "formation_energy_uncorrected_ev_per_atom": 0.275, "mass_density_g_cm3": 5.2, "magmom_total_mub_per_fu": 0.000, "space_group": "P4/mmm", "crystal_system": "tetragonal", "n_ef_per_ev_atom": 0.37, "cell": [[-0.6096, 3.0938, -2.0558], [1.3877, -2.1340, -3.6229], [-4.1431, -1.3446, -0.7950]], "species": ["N", "Li", "Li", "La", "Cu"], "frac_coords": [[0.5000, 0.0000, 0.0000], [0.0000, 0.0000, 0.5000], [0.0000, 0.5000, 0.0000], [0.5000, 0.5000, 0.5000], [0.0000, 0.0000, 0.0000]]}